Compound: Ba2ZrRe
Source: Alexandria via LeMat-Bulk
Functional: PBE
Structure: optimized geometry

Cell lengths 9.8662, 9.8662, 9.8662 Å; angles 159.77, 154.44, 32.81 degrees
Last column: nearest neighbours and their distance in Å.
Positions (direct):
Ba 0.8985 0.8985 0.0000  2 Re 3.30, 2 Ba 3.46, 2 Zr 3.56
Ba 0.6015 0.6015 0.0000  2 Re 3.30, 2 Ba 3.46, 2 Zr 3.56
Re 0.7500 0.2500 0.5000  4 Zr 2.79
Zr 0.2500 0.7500 0.5000  4 Re 2.79

Properties
E_form (eV/atom): 0.53
ΔE to the lowest computed polymorph (meV per atom): 77
Crystal system: orthorhombic